Entry 1:
Material: MgTlTe2
Method: DFT, GGA-PBE
State: optimized geometry

a b c (Å): 5.358 5.358 5.358
angles (deg): 114.20 114.20 100.38
Fractional positions:
Mg  0.750  0.250  0.500
Te  0.000  0.000  0.000
Te  0.500  0.500  0.000
Tl  0.250  0.750  0.500

size of the total moment	0.000	Bohr magnetons per cell
total energy	-2.7866	eV per atom
space-group type	No. 139
energy relative to the elements, uncorrected	-0.23	eV/atom



Entry 2:
Material: Tb3Nd3PuTe8
Method: DFT, GGA-PBE
State: optimized geometry

a b c (Å): 8.833 8.834 8.862
angles (deg): 119.90 90.00 120.00
Site moments in Bohr magnetons follow the coordinates.
Fractional positions:
Tb  0.500  0.000  0.500  0.05
Tb  0.500  0.500  0.500  0.05
Tb  0.000  0.500  0.500  0.05
Nd  0.000  0.000  0.000  0.04
Nd  0.000  0.500  0.000  0.04
Nd  0.500  0.500  0.000  0.04
Pu  0.000  0.000  0.500  5.50
Te  0.253  0.507  0.260  0.00
Te  0.747  0.493  0.740  0.00
Te  0.745  0.489  0.251  -0.02
Te  0.255  0.511  0.749  -0.02
Te  0.745  0.007  0.251  -0.02
Te  0.255  0.993  0.749  -0.02
Te  0.262  0.007  0.251  -0.02
Te  0.738  0.993  0.749  -0.02

size of the total moment	6.220	Bohr magnetons per cell
total energy	-5.8817	eV per atom
space-group type	No. 166
energy relative to the elements, uncorrected	-1.37	eV/atom



Entry 3:
Material: TaTlAg
Method: DFT, GGA-PBE
State: optimized geometry

a b c (Å): 3.051 3.051 7.583
angles (deg): 90.00 90.00 120.00
Fractional positions:
Tl  0.333  0.667  0.667
Ag  0.000  0.000  0.012
Ta  0.667  0.333  0.321

formation enthalpy at 0 K	0.47	eV/atom
size of the total moment	0.000	Bohr magnetons per cell
energy relative to the lowest polymorph listed for this composition	6	meV per atom
total energy	-5.2210	eV per atom
space-group type	No. 156



Entry 4:
Material: BiRuC2
Method: DFT, GGA-PBE
State: optimized geometry

a b c (Å): 5.172 5.172 6.087
angles (deg): 64.86 64.86 90.00
Fractional positions:
Ru  0.500  0.500  0.000
Ru  0.250  0.750  0.500
C  0.536  0.125  0.250
C  0.214  0.625  0.250
C  0.375  0.464  0.750
C  0.875  0.786  0.750
Bi  0.000  0.000  0.000
Bi  0.750  0.250  0.500

formation enthalpy at 0 K	1.12	eV/atom
size of the total moment	0.000	Bohr magnetons per cell
total energy	-6.7833	eV per atom
space-group type	No. 122



Entry 5:
Material: MgSc2Cl
Method: DFT, GGA-PBE
State: optimized geometry

a b c (Å): 3.260 3.260 9.432
angles (deg): 90.00 90.00 110.62
Fractional positions:
Cl  0.000  0.000  0.464
Mg  0.500  0.500  0.755
Sc  0.000  0.000  0.012
Sc  0.500  0.500  0.268

size of the total moment	0.000	Bohr magnetons per cell
energy relative to the lowest polymorph listed for this composition	71	meV per atom
total energy	-4.5636	eV per atom
space-group type	No. 35
energy relative to the elements, uncorrected	-0.54	eV/atom



Entry 6:
Material: Y2Tm5Th2
Method: DFT, GGA-PBE
State: optimized geometry

a b c (Å): 11.809 6.573 10.012
angles (deg): 109.16 126.14 90.00
Fractional positions:
Y  0.126  0.674  0.251
Y  0.874  0.424  0.749
Y  0.625  0.174  0.251
Y  0.375  0.924  0.749
Tm  0.203  0.658  0.894
Tm  0.797  0.764  0.106
Tm  0.191  0.158  0.894
Tm  0.809  0.264  0.106
Tm  0.369  0.051  0.285
Tm  0.631  0.766  0.715
Tm  0.416  0.551  0.285
Tm  0.584  0.266  0.715
Tm  0.015  0.648  0.500
Tm  0.985  0.148  0.500
Th  0.000  0.017  0.000
Th  0.500  0.517  0.000
Th  0.251  0.333  0.500
Th  0.749  0.833  0.500

formation enthalpy at 0 K	0.24	eV/atom
size of the total moment	0.000	Bohr magnetons per cell
energy relative to the lowest polymorph listed for this composition	0	meV per atom
total energy	-5.3325	eV per atom
space-group type	No. 46



Entry 7:
Material: RbZn2Ga2
Method: DFT, GGA-PBE
State: optimized geometry

a b c (Å): 8.782 8.782 2.886
angles (deg): 90.00 90.00 90.00
Fractional positions:
Zn  0.146  0.646  0.500
Zn  0.646  0.854  0.500
Zn  0.854  0.354  0.500
Zn  0.354  0.146  0.500
Ga  0.364  0.864  0.000
Ga  0.864  0.636  0.000
Ga  0.636  0.136  0.000
Ga  0.136  0.364  0.000
Rb  0.000  0.000  0.000
Rb  0.500  0.500  0.000

formation enthalpy at 0 K	0.11	eV/atom
size of the total moment	0.000	Bohr magnetons per cell
energy relative to the lowest polymorph listed for this composition	97	meV per atom
total energy	-1.8062	eV per atom
space-group type	No. 127



Entry 8:
Material: PRh2N
Method: DFT, GGA-PBE
State: optimized geometry

a b c (Å): 4.811 4.811 6.163
angles (deg): 67.03 67.03 90.00
Fractional positions:
P  0.000  0.000  0.000
P  0.750  0.250  0.500
Rh  0.568  0.125  0.250
Rh  0.182  0.625  0.250
Rh  0.375  0.432  0.750
Rh  0.875  0.818  0.750
N  0.500  0.500  0.000
N  0.250  0.750  0.500

size of the total moment	0.000	Bohr magnetons per cell
energy relative to the lowest polymorph listed for this composition	0	meV per atom
total energy	-7.1066	eV per atom
space-group type	No. 122
energy relative to the elements, uncorrected	0.00	eV/atom



Entry 9:
Material: BiRhPb4
Method: DFT, GGA-PBE
State: optimized geometry

a b c (Å): 6.023 9.280 8.010
angles (deg): 117.36 101.04 108.56
Fractional positions:
Bi  0.368  0.618  0.236
Bi  0.632  0.382  0.764
Rh  0.255  0.005  0.010
Rh  0.745  0.995  0.990
Pb  0.050  0.192  0.839
Pb  0.787  0.718  0.665
Pb  0.289  0.647  0.839
Pb  0.377  0.946  0.665
Pb  0.623  0.054  0.335
Pb  0.711  0.353  0.161
Pb  0.213  0.282  0.335
Pb  0.950  0.808  0.161

formation enthalpy at 0 K	-0.04	eV/atom
size of the total moment	0.000	Bohr magnetons per cell
total energy	-4.3850	eV per atom
space-group type	No. 15